{
  "formula": "PrTaAs",
  "functional": "PBE",
  "state": "relaxed",
  "lattice": [[7.053, 0.000, 0.000], [0.000, 7.053, 0.000], [0.000, 0.000, 7.053]],
  "species": ["Pr", "Pr", "Pr", "Pr", "Ta", "Ta", "Ta", "Ta", "As", "As", "As", "As"],
  "frac_coords": [[0.000, 0.000, 0.000], [0.000, 0.500, 0.500], [0.500, 0.000, 0.500], [0.500, 0.500, 0.000], [0.250, 0.250, 0.750], [0.250, 0.750, 0.250], [0.750, 0.250, 0.250], [0.750, 0.750, 0.750], [0.250, 0.250, 0.250], [0.250, 0.750, 0.750], [0.750, 0.250, 0.750], [0.750, 0.750, 0.250]],
  "total_magnetization_mub_per_cell": 13.23,
  "e_tot_ev_per_atom": -6.05,
  "crystal_system": "cubic",
  "spacegroup": "F-43m, No. 216",
  "de_polymorph_mev_per_atom": 984
}

---

{
  "formula": "MgGaHg",
  "functional": "PBE",
  "state": "relaxed",
  "lattice": [[6.489, 0.000, 0.000], [0.000, 6.489, 0.000], [0.000, 0.000, 6.489]],
  "species": ["Mg", "Mg", "Mg", "Mg", "Ga", "Ga", "Ga", "Ga", "Hg", "Hg", "Hg", "Hg"],
  "frac_coords": [[0.000, 0.000, 0.000], [0.000, 0.500, 0.500], [0.500, 0.000, 0.500], [0.500, 0.500, 0.000], [0.000, 0.000, 0.500], [0.000, 0.500, 0.000], [0.500, 0.000, 0.000], [0.500, 0.500, 0.500], [0.250, 0.250, 0.750], [0.250, 0.750, 0.250], [0.750, 0.250, 0.250], [0.750, 0.750, 0.750]],
  "e_tot_ev_per_atom": -1.71,
  "crystal_system": "cubic",
  "spacegroup": "F-43m, No. 216",
  "de_polymorph_mev_per_atom": 0
}

---

{
  "formula": "MoC2",
  "functional": "PBE",
  "state": "relaxed",
  "lattice": [[0.000, 3.046, 3.046], [3.046, 0.000, 3.046], [3.046, 3.046, 0.000]],
  "species": ["Mo", "Mo", "C", "C", "C", "C"],
  "frac_coords": [[0.125, 0.125, 0.125], [0.875, 0.875, 0.875], [0.000, 0.500, 0.500], [0.500, 0.000, 0.500], [0.500, 0.500, 0.000], [0.500, 0.500, 0.500]],
  "total_magnetization_mub_per_cell": 0.01,
  "e_tot_ev_per_atom": -7.26,
  "crystal_system": "cubic",
  "spacegroup": "Fd-3m, No. 227"
}

---

{
  "formula": "YAlCuRe",
  "functional": "PBE",
  "state": "relaxed",
  "lattice": [[6.499, 0.000, 0.000], [0.000, 6.499, 0.000], [0.000, 0.000, 6.499]],
  "species": ["Y", "Y", "Y", "Y", "Al", "Al", "Al", "Al", "Cu", "Cu", "Cu", "Cu", "Re", "Re", "Re", "Re"],
  "frac_coords": [[0.000, 0.000, 0.000], [0.000, 0.500, 0.500], [0.500, 0.000, 0.500], [0.500, 0.500, 0.000], [0.000, 0.000, 0.500], [0.000, 0.500, 0.000], [0.500, 0.000, 0.000], [0.500, 0.500, 0.500], [0.250, 0.250, 0.750], [0.250, 0.750, 0.250], [0.750, 0.250, 0.250], [0.750, 0.750, 0.750], [0.250, 0.250, 0.250], [0.250, 0.750, 0.750], [0.750, 0.250, 0.750], [0.750, 0.750, 0.250]],
  "total_magnetization_mub_per_cell": 0.00,
  "e_tot_ev_per_atom": -6.45,
  "crystal_system": "cubic",
  "spacegroup": "F-43m, No. 216",
  "de_polymorph_mev_per_atom": 0
}

---

{
  "formula": "CuTcNiGe",
  "functional": "PBE",
  "state": "relaxed",
  "lattice": [[5.952, 0.000, 0.000], [0.000, 5.952, 0.000], [0.000, 0.000, 5.952]],
  "species": ["Cu", "Cu", "Cu", "Cu", "Tc", "Tc", "Tc", "Tc", "Ni", "Ni", "Ni", "Ni", "Ge", "Ge", "Ge", "Ge"],
  "frac_coords": [[0.000, 0.000, 0.000], [0.000, 0.500, 0.500], [0.500, 0.000, 0.500], [0.500, 0.500, 0.000], [0.250, 0.250, 0.250], [0.250, 0.750, 0.750], [0.750, 0.250, 0.750], [0.750, 0.750, 0.250], [0.000, 0.000, 0.500], [0.000, 0.500, 0.000], [0.500, 0.000, 0.000], [0.500, 0.500, 0.500], [0.250, 0.250, 0.750], [0.250, 0.750, 0.250], [0.750, 0.250, 0.250], [0.750, 0.750, 0.750]],
  "total_magnetization_mub_per_cell": 6.79,
  "e_tot_ev_per_atom": -5.80,
  "crystal_system": "cubic",
  "spacegroup": "F-43m, No. 216",
  "de_polymorph_mev_per_atom": 197
}

---

{
  "formula": "BAu",
  "functional": "PBE",
  "state": "relaxed",
  "lattice": [[4.985, 0.000, 0.000], [0.000, 4.985, 0.000], [0.000, 0.000, 4.985]],
  "species": ["B", "B", "B", "B", "Au", "Au", "Au", "Au"],
  "frac_coords": [[0.000, 0.000, 0.000], [0.000, 0.500, 0.500], [0.500, 0.000, 0.500], [0.500, 0.500, 0.000], [0.250, 0.250, 0.250], [0.250, 0.750, 0.750], [0.750, 0.250, 0.750], [0.750, 0.750, 0.250]],
  "e_tot_ev_per_atom": -4.15,
  "crystal_system": "cubic",
  "spacegroup": "F-43m, No. 216"
}

---

{
  "formula": "KNdGd",
  "functional": "PBE",
  "state": "relaxed",
  "lattice": [[8.091, 0.000, 0.000], [0.000, 8.091, 0.000], [0.000, 0.000, 8.091]],
  "species": ["K", "K", "K", "K", "Nd", "Nd", "Nd", "Nd", "Gd", "Gd", "Gd", "Gd"],
  "frac_coords": [[0.000, 0.000, 0.000], [0.000, 0.500, 0.500], [0.500, 0.000, 0.500], [0.500, 0.500, 0.000], [0.250, 0.250, 0.250], [0.250, 0.750, 0.750], [0.750, 0.250, 0.750], [0.750, 0.750, 0.250], [0.250, 0.250, 0.750], [0.250, 0.750, 0.250], [0.750, 0.250, 0.250], [0.750, 0.750, 0.750]],
  "total_magnetization_mub_per_cell": 7.03,
  "e_tot_ev_per_atom": -2.31,
  "crystal_system": "cubic",
  "spacegroup": "F-43m, No. 216"
}

---

{
  "formula": "ReB2Mo",
  "functional": "PBE",
  "state": "relaxed",
  "lattice": [[5.706, 0.000, 0.000], [0.000, 5.706, 0.000], [0.000, 0.000, 5.706]],
  "species": ["Re", "Re", "Re", "Re", "B", "B", "B", "B", "B", "B", "B", "B", "Mo", "Mo", "Mo", "Mo"],
  "frac_coords": [[0.000, 0.000, 0.000], [0.000, 0.500, 0.500], [0.500, 0.000, 0.500], [0.500, 0.500, 0.000], [0.000, 0.000, 0.500], [0.000, 0.500, 0.000], [0.250, 0.250, 0.750], [0.250, 0.750, 0.250], [0.500, 0.000, 0.000], [0.500, 0.500, 0.500], [0.750, 0.250, 0.250], [0.750, 0.750, 0.750], [0.250, 0.250, 0.250], [0.250, 0.750, 0.750], [0.750, 0.250, 0.750], [0.750, 0.750, 0.250]],
  "total_magnetization_mub_per_cell": 0.01,
  "e_tot_ev_per_atom": -8.09,
  "crystal_system": "cubic",
  "spacegroup": "F-43m, No. 216",
  "de_polymorph_mev_per_atom": 1346
}

---

Please write out number 4 again, unchanged.
{
  "formula": "YAlCuRe",
  "functional": "PBE",
  "state": "relaxed",
  "lattice": [[6.499, 0.000, 0.000], [0.000, 6.499, 0.000], [0.000, 0.000, 6.499]],
  "species": ["Y", "Y", "Y", "Y", "Al", "Al", "Al", "Al", "Cu", "Cu", "Cu", "Cu", "Re", "Re", "Re", "Re"],
  "frac_coords": [[0.000, 0.000, 0.000], [0.000, 0.500, 0.500], [0.500, 0.000, 0.500], [0.500, 0.500, 0.000], [0.000, 0.000, 0.500], [0.000, 0.500, 0.000], [0.500, 0.000, 0.000], [0.500, 0.500, 0.500], [0.250, 0.250, 0.750], [0.250, 0.750, 0.250], [0.750, 0.250, 0.250], [0.750, 0.750, 0.750], [0.250, 0.250, 0.250], [0.250, 0.750, 0.750], [0.750, 0.250, 0.750], [0.750, 0.750, 0.250]],
  "total_magnetization_mub_per_cell": 0.00,
  "e_tot_ev_per_atom": -6.45,
  "crystal_system": "cubic",
  "spacegroup": "F-43m, No. 216",
  "de_polymorph_mev_per_atom": 0
}